Record 1
{
  "formula": "TaB2",
  "functional": "PBE",
  "state": "optimized geometry",
  "delta_e_f_ev_per_atom": 0.429,
  "cell": [[-1.3725, 1.3725, 4.0322], [1.3725, -1.3725, 4.0322], [1.3725, 1.3725, -4.0322]],
  "species": ["Ta", "B", "B"],
  "frac_coords": [[0.0000, 0.0000, 0.0000], [0.2922, 0.2922, 0.0000], [0.7078, 0.7078, 0.0000]]
}

---

Record 2
{
  "formula": "Ta5B6",
  "functional": "PBE",
  "state": "optimized geometry",
  "delta_e_f_ev_per_atom": -0.788,
  "cell": [[1.5788, -11.3728, 0.0000], [1.5788, 11.3728, 0.0000], [0.0000, 0.0000, 3.3077]],
  "species": ["Ta", "Ta", "Ta", "Ta", "Ta", "B", "B", "B", "B", "B", "B"],
  "frac_coords": [[0.0000, 0.0000, 0.0000], [0.1941, 0.8059, 0.5000], [0.3860, 0.6140, 0.0000], [0.6140, 0.3860, 0.0000], [0.8059, 0.1941, 0.5000], [0.0824, 0.9176, 0.5000], [0.2733, 0.7267, 0.0000], [0.4607, 0.5393, 0.5000], [0.5393, 0.4607, 0.5000], [0.7267, 0.2733, 0.0000], [0.9176, 0.0824, 0.5000]]
}

---

Record 3
{
  "formula": "TaB2",
  "functional": "PBE",
  "state": "optimized geometry",
  "delta_e_f_ev_per_atom": -0.638,
  "cell": [[-1.6052, 1.6052, 5.3769], [1.6052, -1.6052, 5.3769], [1.6052, 1.6052, -5.3769]],
  "species": ["Ta", "Ta", "B", "B", "B", "B"],
  "frac_coords": [[0.3750, 0.6250, 0.7500], [0.6250, 0.3750, 0.2500], [0.0418, 0.7918, 0.2500], [0.2082, 0.9582, 0.2500], [0.7918, 0.0418, 0.7500], [0.9582, 0.2082, 0.7500]]
}

---

| no. | calculated density (g/cm3) |
| --- | --- |
| 1 | 11.1 |
| 2 | 13.6 |
| 3 | 12.1 |